1.
{"formula": "LaTb4Ho2Th", "functional": "PBE", "state": "relaxed", "lattice": [[5.0791, 0.0000, 0.0000], [0.0000, 4.9373, 1.1283], [0.0000, 2.6825, 10.9877]], "species": ["Ho", "Ho", "Tb", "Tb", "Tb", "Tb", "Th", "La"], "fractional_positions": [[0.0000, 0.0000, 0.0000], [0.5000, 0.0000, 0.5000], [0.0000, 0.7559, 0.7439], [0.5000, 0.2569, 0.7432], [0.0000, 0.2441, 0.2561], [0.5000, 0.7431, 0.2568], [0.0000, 0.5000, 0.5000], [0.5000, 0.5000, 0.0000]], "energy_ev_per_cell": -39.71, "dos_ef_per_ev_atom": 1.481, "m_tot_mub_per_atom": 0.0000}

2.
{"formula": "LaTb3Ho6Th2", "functional": "PBE", "state": "relaxed", "lattice": [[6.1882, 0.0004, 0.0115], [-3.0922, 5.3602, 0.0115], [-1.0542, -1.8254, 11.5126]], "species": ["Th", "Th", "La", "Ho", "Ho", "Ho", "Ho", "Ho", "Ho", "Tb", "Tb", "Tb"], "fractional_positions": [[0.3334, 0.6666, 0.0000], [0.6666, 0.3334, 0.0000], [0.0000, 0.0000, 0.0000], [0.0832, 0.4216, 0.2488], [0.7445, 0.7445, 0.2489], [0.2555, 0.2555, 0.7511], [0.5784, 0.9168, 0.7512], [0.4216, 0.0832, 0.2488], [0.9168, 0.5784, 0.7512], [0.8335, 0.1665, 0.5000], [0.1665, 0.8335, 0.5000], [0.5000, 0.5000, 0.5000]], "energy_ev_per_cell": -60.79, "dos_ef_per_ev_atom": 1.373, "m_tot_mub_per_atom": 0.0000}